1.
VSbSe: relaxed, PBE.

## Properties
Electronic total energy ... -5.9179 eV per atom
Raw formation energy ... -0.34 eV/atom
Volume ... 71.28 Å³/f.u.
SG ... P3m1, No. 156
Theoretical density ... 5.86 g/cm3

Structure (POSCAR):
```
VSbSe
1.0
3.273 0.000 0.000
-1.637 2.835 0.000
0.000 0.000 7.682
Sb Se V
1 1 1
Direct
0.000 0.000 0.083
0.333 0.667 0.560
0.667 0.333 0.356
```

=====

2.
VSbSe: relaxed, PBE.

## Properties
Electronic total energy ... -5.8745 eV per atom
Raw formation energy ... -0.30 eV/atom
Volume ... 68.77 Å³/f.u.
SG ... P2_1/c, No. 14
Theoretical density ... 6.08 g/cm3

Structure (POSCAR):
```
VSbSe
1.0
-1.289 5.236 -3.891
-5.439 2.776 5.537
5.210 1.791 0.685
Se V Sb
4 4 4
Direct
0.371 0.223 0.738
0.871 0.777 0.762
0.629 0.777 0.262
0.129 0.223 0.238
0.126 0.005 0.774
0.626 0.995 0.726
0.874 0.995 0.226
0.374 0.005 0.274
0.372 0.733 0.749
0.872 0.267 0.751
0.628 0.267 0.251
0.128 0.733 0.249
```

=====

3.
V2Sb2Se: relaxed, PBE.

## Properties
Electronic total energy ... -5.9479 eV per atom
Raw formation energy ... 0.05 eV/atom
Volume ... 96.27 Å³/f.u.
SG ... P4/mbm, No. 127
Theoretical density ... 7.32 g/cm3

Structure (POSCAR):
```
V2Sb2Se
1.0
-2.247 -6.086 -3.515
6.705 -2.964 0.845
-1.011 -1.407 3.083
Sb Se V
4 2 4
Direct
0.147 0.647 0.500
0.647 0.853 0.500
0.853 0.353 0.500
0.353 0.147 0.500
0.000 0.000 0.000
0.500 0.500 0.000
0.353 0.853 0.000
0.853 0.647 0.000
0.647 0.147 0.000
0.147 0.353 0.000
```

=====

4.
VSb3Se: relaxed, PBE.

## Properties
Electronic total energy ... -4.7536 eV per atom
Raw formation energy ... 0.24 eV/atom
Volume ... 130.63 Å³/f.u.
SG ... Pm-3m, No. 221
Theoretical density ... 6.29 g/cm3
Polymorph energy (0 for the lowest one) ... 0 meV per atom

Structure (POSCAR):
```
VSb3Se
1.0
5.074 0.000 0.000
0.000 5.074 0.000
0.000 0.000 5.074
Sb Se V
3 1 1
Direct
0.000 0.500 0.000
0.000 0.000 0.500
0.500 0.000 0.000
0.500 0.500 0.500
0.000 0.000 0.000
```

=====

5.
V5Sb3Se12: relaxed, PBE.

## Properties
Electronic total energy ... -5.3517 eV per atom
Raw formation energy ... -0.36 eV/atom
Volume ... 495.69 Å³/f.u.
SG ... Ia-3d, No. 230
Theoretical density ... 5.25 g/cm3

Structure (POSCAR):
```
V5Sb3Se12
1.0
13.708 0.000 0.000
-4.569 12.924 0.000
-4.569 -6.462 11.192
Sb V Se
12 20 48
Direct
0.750 0.375 0.125
0.875 0.750 0.125
0.375 0.750 0.625
0.250 0.125 0.375
0.875 0.125 0.250
0.375 0.625 0.250
0.625 0.375 0.750
0.125 0.875 0.750
0.750 0.875 0.625
0.625 0.250 0.375
0.125 0.250 0.875
0.250 0.625 0.875
0.125 0.375 0.250
0.000 0.500 0.000
0.000 0.000 0.000
0.375 0.250 0.125
0.500 0.000 0.500
0.500 0.500 0.000
0.125 0.750 0.375
0.750 0.125 0.875
0.750 0.625 0.375
0.375 0.125 0.750
0.625 0.875 0.250
0.500 0.500 0.500
0.500 0.000 0.000
0.000 0.000 0.500
0.250 0.375 0.625
0.250 0.875 0.125
0.000 0.500 0.500
0.875 0.250 0.625
0.625 0.750 0.875
0.875 0.625 0.750
0.704 0.123 0.027
0.323 0.527 0.404
0.973 0.377 0.296
0.527 0.204 0.123
0.581 0.704 0.677
0.973 0.596 0.177
0.323 0.796 0.419
0.096 0.919 0.123
0.596 0.973 0.677
0.704 0.581 0.177
0.796 0.473 0.377
0.823 0.904 0.027
0.123 0.704 0.527
0.377 0.404 0.081
0.081 0.904 0.377
0.419 0.123 0.596
0.081 0.177 0.204
0.473 0.677 0.096
0.823 0.919 0.296
0.123 0.419 0.096
0.377 0.973 0.796
0.596 0.623 0.419
0.904 0.823 0.527
0.796 0.323 0.919
0.404 0.377 0.581
0.096 0.177 0.473
0.204 0.677 0.081
0.177 0.081 0.704
0.623 0.027 0.204
0.877 0.581 0.904
0.527 0.323 0.904
0.581 0.877 0.404
0.919 0.823 0.796
0.919 0.096 0.623
0.877 0.296 0.473
0.177 0.096 0.973
0.623 0.596 0.919
0.404 0.027 0.323
0.296 0.419 0.823
0.204 0.527 0.623
0.904 0.081 0.877
0.677 0.204 0.581
0.473 0.796 0.877
0.027 0.404 0.823
0.419 0.296 0.323
0.027 0.623 0.704
0.677 0.473 0.596
0.296 0.877 0.973
```

=====

6.
VSbSe: relaxed, PBE.

## Properties
Electronic total energy ... -5.9709 eV per atom
Raw formation energy ... -0.40 eV/atom
Volume ... 70.42 Å³/f.u.
SG ... C2/m, No. 12
Theoretical density ... 5.93 g/cm3

Structure (POSCAR):
```
VSbSe
1.0
-1.541 2.947 -0.001
-5.962 -3.118 0.319
3.867 0.149 6.129
V Sb Se
2 2 2
Direct
0.237 0.817 0.474
0.763 0.183 0.526
0.847 0.653 0.694
0.153 0.347 0.306
0.610 0.811 0.220
0.390 0.189 0.780
```

=====

7.
VZnSbSe2: relaxed, PBE.

## Properties
Electronic total energy ... -3.5652 eV per atom
Raw formation energy ... 0.73 eV/atom
Volume ... 145.62 Å³/f.u.
SG ... P4/mmm, No. 123
Theoretical density ... 4.52 g/cm3

Structure (POSCAR):
```
VZnSbSe2
1.0
-3.744 3.941 -0.121
-3.465 -3.252 1.292
0.954 1.068 5.246
Sb Zn Se V
1 1 2 1
Direct
0.000 0.000 0.000
0.000 0.500 0.000
0.000 0.000 0.500
0.500 0.000 0.000
0.500 0.500 0.500
```

=====

8.
Zr2VSbSe: relaxed, PBE.

## Properties
Electronic total energy ... -5.5937 eV per atom
Raw formation energy ... 1.17 eV/atom
Volume ... 152.58 Å³/f.u.
SG ... P4/mmm, No. 123
Theoretical density ... 4.72 g/cm3

Structure (POSCAR):
```
Zr2VSbSe
1.0
-1.079 3.367 4.028
-0.556 -4.126 3.299
5.220 0.248 1.191
Sb Se Zr V
1 1 2 1
Direct
0.000 0.000 0.000
0.000 0.500 0.000
0.000 0.000 0.500
0.500 0.000 0.000
0.500 0.500 0.500
```

=====

9.
Sb2WSe: relaxed, PBE.

## Properties
Electronic total energy ... -5.7101 eV per atom
Raw formation energy ... 0.46 eV/atom
Volume ... 98.81 Å³/f.u.
SG ... Cmm2, No. 35
Theoretical density ... 8.51 g/cm3

Structure (POSCAR):
```
Sb2WSe
1.0
3.118 -0.021 0.000
-1.445 2.762 0.000
0.000 0.000 11.515
Sb Se W
2 1 1
Direct
0.000 0.000 0.946
0.500 0.500 0.249
0.000 0.000 0.570
0.500 0.500 0.735
```

=====

10.
SbW2Se: relaxed, PBE.

## Properties
Electronic total energy ... -7.7707 eV per atom
Raw formation energy ... 0.61 eV/atom
Volume ... 73.02 Å³/f.u.
SG ... C2/m, No. 12
Theoretical density ... 12.93 g/cm3
Polymorph energy (0 for the lowest one) ... 448 meV per atom

Structure (POSCAR):
```
SbW2Se
1.0
4.515 -0.003 -0.003
3.436 2.929 -0.003
1.110 0.408 5.516
Sb Se W
1 1 2
Direct
0.750 0.750 0.750
0.250 0.250 0.250
0.998 0.998 0.046
0.502 0.502 0.454
```

=====

11.
Sb2WSe: relaxed, PBE.

## Properties
Electronic total energy ... -5.4664 eV per atom
Raw formation energy ... 0.70 eV/atom
Volume ... 82.80 Å³/f.u.
SG ... I-4m2, No. 119
Theoretical density ... 10.15 g/cm3

Structure (POSCAR):
```
Sb2WSe
1.0
-1.575 -4.594 -0.571
1.386 -1.030 4.575
-3.034 3.741 -0.845
Sb Se W
2 1 1
Direct
0.000 0.000 0.000
0.250 0.750 0.500
0.500 0.500 0.000
0.750 0.250 0.500
```

=====

12.
SbW2Se: relaxed, PBE.

## Properties
Electronic total energy ... -7.4640 eV per atom
Raw formation energy ... 0.91 eV/atom
Volume ... 75.15 Å³/f.u.
SG ... C2/m, No. 12
Theoretical density ... 12.56 g/cm3
Polymorph energy (0 for the lowest one) ... 755 meV per atom

Structure (POSCAR):
```
SbW2Se
1.0
5.371 0.011 0.005
-2.517 4.745 0.005
0.975 1.625 2.949
Sb Se W
1 1 2
Direct
0.500 0.000 0.500
0.000 0.500 0.500
0.000 0.000 0.000
0.500 0.500 0.000
```

=====

13.
Sb3WSe: relaxed, PBE.

## Properties
Electronic total energy ... -5.2466 eV per atom
Raw formation energy ... 0.51 eV/atom
Volume ... 140.69 Å³/f.u.
SG ... Pm-3m, No. 221
Theoretical density ... 7.41 g/cm3
Polymorph energy (0 for the lowest one) ... 0 meV per atom

Structure (POSCAR):
```
Sb3WSe
1.0
5.201 0.000 0.000
0.000 5.201 0.000
0.000 0.000 5.201
Sb Se W
3 1 1
Direct
0.000 0.500 0.000
0.000 0.000 0.500
0.500 0.000 0.000
0.500 0.500 0.500
0.000 0.000 0.000
```

=====

14.
SbW2Se: relaxed, PBE.

## Properties
Electronic total energy ... -7.5250 eV per atom
Raw formation energy ... 0.85 eV/atom
Volume ... 74.41 Å³/f.u.
SG ... P2/m, No. 10
Theoretical density ... 12.68 g/cm3
Polymorph energy (0 for the lowest one) ... 694 meV per atom

Structure (POSCAR):
```
SbW2Se
1.0
-3.427 -2.206 -0.544
1.049 -2.190 2.273
-2.241 2.395 4.401
Sb Se W
1 1 2
Direct
0.500 0.250 0.250
0.500 0.750 0.750
0.000 0.906 0.979
0.000 0.594 0.521
```

=====

15.
SbW2Se: relaxed, PBE.

## Properties
Electronic total energy ... -7.4081 eV per atom
Raw formation energy ... 0.97 eV/atom
Volume ... 73.74 Å³/f.u.
SG ... Cmmm, No. 65
Theoretical density ... 12.80 g/cm3
Polymorph energy (0 for the lowest one) ... 810 meV per atom

Structure (POSCAR):
```
SbW2Se
1.0
-0.230 1.742 -2.564
-2.320 0.084 2.066
3.907 6.581 4.120
Sb Se W
1 1 2
Direct
0.500 0.500 0.250
0.500 0.500 0.750
0.000 0.000 0.988
0.000 0.000 0.512
```

=====

16.
SbWSe: relaxed, PBE.

## Properties
Electronic total energy ... -6.8324 eV per atom
Raw formation energy ... 0.02 eV/atom
Volume ... 72.89 Å³/f.u.
SG ... P3m1, No. 156
Theoretical density ... 8.76 g/cm3
Polymorph energy (0 for the lowest one) ... 0 meV per atom

Structure (POSCAR):
```
SbWSe
1.0
3.260 0.000 0.000
-1.630 2.823 0.000
0.000 0.000 7.920
Sb Se W
1 1 1
Direct
0.000 0.000 0.922
0.667 0.333 0.433
0.333 0.667 0.645
```

=====

17.
Sb2WSe: relaxed, PBE.

## Properties
Electronic total energy ... -5.4180 eV per atom
Raw formation energy ... 0.75 eV/atom
Volume ... 83.12 Å³/f.u.
SG ... Cmmm, No. 65
Theoretical density ... 10.12 g/cm3

Structure (POSCAR):
```
Sb2WSe
1.0
5.067 0.001 0.000
-1.278 4.903 0.000
0.000 0.000 3.345
Sb Se W
2 1 1
Direct
0.000 0.000 0.000
0.500 0.500 0.000
0.500 0.000 0.500
0.000 0.500 0.500
```

=====

18.
SbW3Se: relaxed, PBE.

## Properties
Electronic total energy ... -7.6653 eV per atom
Raw formation energy ... 1.63 eV/atom
Volume ... 101.37 Å³/f.u.
SG ... Pm-3m, No. 221
Theoretical density ... 12.32 g/cm3
Polymorph energy (0 for the lowest one) ... 0 meV per atom

Structure (POSCAR):
```
SbW3Se
1.0
-2.870 3.355 -1.499
-2.858 -0.842 3.587
2.310 3.126 2.575
Sb Se W
1 1 3
Direct
0.500 0.500 0.500
0.000 0.000 0.000
0.000 0.500 0.000
0.000 0.000 0.500
0.500 0.000 0.000
```

=====

19.
SbW2Se: relaxed, PBE.

## Properties
Electronic total energy ... -8.2186 eV per atom
Raw formation energy ... 0.16 eV/atom
Volume ... 102.42 Å³/f.u.
SG ... Pmm2, No. 25
Theoretical density ... 9.22 g/cm3
Polymorph energy (0 for the lowest one) ... 0 meV per atom

Structure (POSCAR):
```
SbW2Se
1.0
-0.996 0.696 -3.924
2.109 -2.539 -0.985
-5.449 -4.737 0.542
Sb Se W
1 1 2
Direct
0.000 0.375 0.406
0.500 0.875 0.863
0.000 0.875 0.104
0.500 0.375 0.127
```

=====

20.
Sb2WSe: relaxed, PBE.

## Properties
Electronic total energy ... -5.4760 eV per atom
Raw formation energy ... 0.69 eV/atom
Volume ... 85.57 Å³/f.u.
SG ... C2/m, No. 12
Theoretical density ... 9.83 g/cm3

Structure (POSCAR):
```
Sb2WSe
1.0
-3.384 1.786 3.454
2.434 -3.590 2.785
2.043 1.973 1.910
Sb Se W
2 1 1
Direct
0.000 0.000 0.000
0.500 0.500 0.000
0.500 0.000 0.500
0.000 0.500 0.500
```

=====

21.
SbW4Se: relaxed, PBE.

## Properties
Electronic total energy ... -9.0134 eV per atom
Raw formation energy ... 0.89 eV/atom
Volume ... 111.07 Å³/f.u.
SG ... F-43m, No. 216
Theoretical density ... 13.99 g/cm3

Structure (POSCAR):
```
SbW4Se
1.0
1.064 -5.272 -0.430
-4.021 -3.590 0.224
-1.462 -2.694 -4.440
Sb W Se
1 4 1
Direct
0.750 0.750 0.750
0.880 0.373 0.373
0.373 0.373 0.880
0.373 0.880 0.373
0.373 0.373 0.373
0.000 0.000 0.000
```

=====

22.
Sb2WSe: relaxed, PBE.

## Properties
Electronic total energy ... -5.7259 eV per atom
Raw formation energy ... 0.44 eV/atom
Volume ... 96.85 Å³/f.u.
SG ... Amm2, No. 38
Theoretical density ... 8.68 g/cm3

Structure (POSCAR):
```
Sb2WSe
1.0
-2.647 2.609 2.805
0.033 -3.503 3.289
3.575 0.181 3.205
Sb Se W
2 1 1
Direct
0.000 0.912 0.912
0.500 0.320 0.320
0.000 0.562 0.563
0.500 0.705 0.705
```

=====

23.
SbWSe: relaxed, PBE.

## Properties
Electronic total energy ... -6.4278 eV per atom
Raw formation energy ... 0.43 eV/atom
Volume ... 69.47 Å³/f.u.
SG ... Fmm2, No. 42
Theoretical density ... 9.19 g/cm3
Polymorph energy (0 for the lowest one) ... 405 meV per atom

Structure (POSCAR):
```
SbWSe
1.0
-5.553 0.348 6.386
-6.441 -2.082 4.595
1.653 -0.556 2.619
Sb Se W
1 1 1
Direct
0.029 0.029 0.971
0.295 0.295 0.705
0.676 0.676 0.324
```

=====

24.
Sb2WSe: relaxed, PBE.

## Properties
Electronic total energy ... -5.3532 eV per atom
Raw formation energy ... 0.82 eV/atom
Volume ... 84.65 Å³/f.u.
SG ... Pmmm, No. 47
Theoretical density ... 9.93 g/cm3

Structure (POSCAR):
```
Sb2WSe
1.0
-2.708 0.331 1.865
-1.697 -4.676 -1.635
2.313 -2.147 3.740
Sb Se W
2 1 1
Direct
0.000 0.000 0.000
0.500 0.500 0.000
0.500 0.000 0.500
0.000 0.500 0.500
```

=====

25.
SbWSe: relaxed, PBE.

## Properties
Electronic total energy ... -6.7362 eV per atom
Raw formation energy ... 0.12 eV/atom
Volume ... 68.50 Å³/f.u.
SG ... Imm2, No. 44
Theoretical density ... 9.32 g/cm3
Polymorph energy (0 for the lowest one) ... 96 meV per atom

Structure (POSCAR):
```
SbWSe
1.0
7.291 -0.014 -0.021
5.946 4.219 0.021
-6.605 -2.143 2.220
Sb Se W
1 1 1
Direct
0.038 0.038 0.000
0.283 0.283 0.000
0.679 0.679 0.000
```